ScVP2O, relaxed, DFT PBE with a Hubbard U; space group = P4/mmm, No. 123; ΔE to the lowest computed polymorph = 0 meV/atom; density of states at the Fermi level = 0.24 states/eV per atom; calculated total energy = -32.60 eV/f.u.
1.0
4.717 0.000 0.000
0.000 4.717 0.000
0.000 0.000 3.625
P O Sc V
2 1 1 1
direct
0.500 0.000 0.000
0.000 0.500 0.000
0.000 0.000 0.500
0.500 0.500 0.500
0.000 0.000 0.000

=====

ScVPO2, relaxed, DFT PBE with a Hubbard U; space group = P4/mmm, No. 123; ΔE to the lowest computed polymorph = 0 meV/atom; density of states at the Fermi level = 0.10 states/eV per atom; calculated total energy = -36.15 eV/f.u.
1.0
3.743 0.000 0.000
0.000 3.743 0.000
0.000 0.000 5.086
O P Sc V
2 1 1 1
direct
0.000 0.500 0.000
0.500 0.000 0.000
0.000 0.000 0.500
0.500 0.500 0.500
0.000 0.000 0.000

=====

ScVP2O, relaxed, DFT PBE with a Hubbard U; space group = P4/mmm, No. 123; ΔE to the lowest computed polymorph = 565 meV/atom; density of states at the Fermi level = 1.10 states/eV per atom; calculated total energy = -29.78 eV/f.u.
1.0
-4.198 1.041 -2.619
-1.713 -4.673 0.888
-1.716 1.245 3.245
V P Sc O
1 2 1 1
direct
0.500 0.500 0.500
0.500 0.000 0.000
0.000 0.500 0.000
0.000 0.000 0.000
0.000 0.000 0.500

=====

ScVPO2, relaxed, DFT PBE with a Hubbard U; space group = P4/mmm, No. 123; ΔE to the lowest computed polymorph = 526 meV/atom; density of states at the Fermi level = 0.82 states/eV per atom; calculated total energy = -33.52 eV/f.u.
1.0
3.942 0.000 0.000
0.000 3.942 0.000
0.000 0.000 5.546
O V Sc P
2 1 1 1
direct
0.000 0.500 0.000
0.500 0.000 0.000
0.500 0.500 0.500
0.000 0.000 0.000
0.000 0.000 0.500

=====

density of states at the Fermi level of number 2 (ScVPO2)? 0.10 states/eV per atom

=====

Which value of density of states at the Fermi level does entry 2 give? 0.10 states/eV per atom